## HoNi2O4 (GGA+U)

Data for a relaxed structure of HoNi2O4.

- Calculated volume: 11.0 Å³ per atom
- D(E_F): 0.74 states/eV/atom
- DFT total energy: -6.0099 eV per atom
- Total magnetization: 2.992 μB per formula unit

Geometry as extended XYZ:
```
14
Lattice="5.5725 0.2678 -1.7493 -2.9336 4.7454 -1.7493 -0.1438 -0.2730 5.8371" Properties=species:S:1:pos:R:3 pbc="T T T"
O 4.3833 1.2636 -0.1697
O 2.7627 3.3431 -1.5804
O 3.9355 0.4105 2.5073
Ho -0.8790 3.4895 1.1693
O 3.2472 2.9140 1.3384
Ni -0.5112 1.6082 3.5032
Ni 2.2750 1.7422 2.6286
O 0.3095 2.4938 -0.4110
O 1.9304 0.4149 1.0010
Ni 0.8799 4.2514 -1.1648
Ni 2.3466 1.8787 -0.2900
O 0.6148 3.0732 2.7492
Ho 2.4951 4.7401 2.3386
O 1.3034 0.5704 3.9191
```